{
  "formula": "Sn5BiTe7",
  "functional": "PBE",
  "state": "optimized geometry",
  "cell": [[26.608, 0.000, 0.000], [0.000, 2.213, 7.376], [0.000, -2.213, 7.376]],
  "species": ["Sn", "Sn", "Sn", "Sn", "Sn", "Sn", "Sn", "Sn", "Sn", "Sn", "Bi", "Bi", "Te", "Te", "Te", "Te", "Te", "Te", "Te", "Te", "Te", "Te", "Te", "Te", "Te", "Te"],
  "fractional_positions": [[0.103, 0.000, 0.000], [0.174, 0.271, 0.271], [0.250, 0.544, 0.544], [0.325, 0.817, 0.817], [0.397, 0.088, 0.088], [0.603, 0.088, 0.088], [0.675, 0.817, 0.817], [0.750, 0.544, 0.544], [0.826, 0.271, 0.271], [0.897, 0.000, 0.000], [0.000, 0.749, 0.749], [0.500, 0.339, 0.339], [0.000, 0.102, 0.102], [0.071, 0.358, 0.358], [0.140, 0.634, 0.634], [0.212, 0.908, 0.908], [0.287, 0.180, 0.180], [0.360, 0.455, 0.455], [0.429, 0.731, 0.731], [0.500, 0.987, 0.987], [0.571, 0.731, 0.731], [0.640, 0.455, 0.455], [0.713, 0.180, 0.180], [0.788, 0.908, 0.908], [0.860, 0.634, 0.634], [0.929, 0.358, 0.358]],
  "magmom_total_mub_per_cell": 0.00,
  "mass_density_g_cm3": 6.5,
  "n_ef_per_ev_atom": 0.56,
  "formation_energy_uncorrected_ev_per_atom": -0.23
}